Here is an optimized crystal structure of AcErCu2Se4 from the Alexandria database. Energies are from GGA-PBE.

```
data_AcErCu2Se4
_symmetry_space_group_name_H-M 'I 2 2 2'
_symmetry_Int_Tables_number 23
_cell_length_a 6.796
_cell_length_b 7.332
_cell_length_c 8.205
_cell_angle_alpha 90.00
_cell_angle_beta 90.00
_cell_angle_gamma 90.00
loop_
_symmetry_equiv_pos_as_xyz
'x,y,z'
'-x,-y,z'
'x,-y,-z'
'-x,y,-z'
'x+1/2,y+1/2,z+1/2'
'-x+1/2,-y+1/2,z+1/2'
'x+1/2,-y+1/2,-z+1/2'
'-x+1/2,y+1/2,-z+1/2'
loop_
_atom_site_label
_atom_site_type_symbol
_atom_site_fract_x
_atom_site_fract_y
_atom_site_fract_z
_atom_site_occupancy
Ac1 Ac 0.000 0.000 0.000 1
Er1 Er 0.000 0.000 0.500 1
Cu1 Cu 0.000 0.500 0.154 1
Se1 Se 0.240 0.205 0.304 1
```

## Properties
DFT total energy = -4.9946 eV/atom
raw formation energy = -1144 meV per atom